(1)
! CoHg2As PBE relaxed; values from VASP
&SYSTEM
  ibrav = 0, nat = 4, ntyp = 3
/
ATOMIC_SPECIES
Co 58.93 Co.upf
Hg 200.59 Hg.upf
As 74.92 As.upf
ATOMIC_POSITIONS crystal
Co 0.0000 0.0000 0.0000
Hg 0.5000 0.5000 0.5000
Hg 0.7500 0.7500 0.7500
As 0.2500 0.2500 0.2500
CELL_PARAMETERS angstrom
0.0000 3.3714 3.3714
3.3714 0.0000 3.3714
3.3714 3.3714 0.0000
! energy relative to the elements = 0.60 eV/atom
! SG = F-43m


(2)
! Ac2Tb2Ni15 PBE relaxed; values from VASP
&SYSTEM
  ibrav = 0, nat = 19, ntyp = 3
/
ATOMIC_SPECIES
Ac 227.00 Ac.upf
Tb 158.93 Tb.upf
Ni 58.69 Ni.upf
ATOMIC_POSITIONS crystal
Ac 0.1425 0.1425 0.1425
Ac 0.8575 0.8575 0.8575
Tb 0.3899 0.3899 0.3899
Tb 0.6101 0.6101 0.6101
Ni 0.0000 0.5000 0.5000
Ni 0.1552 0.1552 0.6622
Ni 0.1552 0.6622 0.1552
Ni 0.2003 0.5000 0.7997
Ni 0.2003 0.7997 0.5000
Ni 0.3378 0.8448 0.8448
Ni 0.5000 0.0000 0.5000
Ni 0.5000 0.2003 0.7997
Ni 0.5000 0.5000 0.0000
Ni 0.5000 0.7997 0.2003
Ni 0.6622 0.1552 0.1552
Ni 0.7997 0.2003 0.5000
Ni 0.7997 0.5000 0.2003
Ni 0.8448 0.3378 0.8448
Ni 0.8448 0.8448 0.3378
CELL_PARAMETERS angstrom
4.3500 2.5115 4.2956
-4.3500 2.5115 4.2956
0.0000 -5.0230 4.2956
! energy relative to the elements = -0.17 eV/atom
! SG = R-3m


(3)
! Tb2Dy6Tm3 PBE relaxed; values from VASP
&SYSTEM
  ibrav = 0, nat = 11, ntyp = 3
/
ATOMIC_SPECIES
Tb 158.93 Tb.upf
Dy 162.50 Dy.upf
Tm 168.93 Tm.upf
ATOMIC_POSITIONS crystal
Tb 0.0458 0.0458 0.0000
Tb 0.9542 0.9542 0.0000
Dy 0.1215 0.6215 0.5000
Dy 0.1971 0.1971 0.0000
Dy 0.3785 0.8785 0.5000
Dy 0.6215 0.1215 0.5000
Dy 0.8029 0.8029 0.0000
Dy 0.8785 0.3785 0.5000
Tm 0.3004 0.3004 0.0000
Tm 0.5000 0.5000 0.0000
Tm 0.6996 0.6996 0.0000
CELL_PARAMETERS angstrom
-2.3411 2.3411 16.4587
2.3411 -2.3411 16.4587
2.3411 2.3411 -16.4587
! energy relative to the elements = 0.29 eV/atom
! SG = I4/mmm
! energy relative to the lowest polymorph listed for this composition = 272 meV/atom


(4)
! Pu2USn PBE relaxed; values from VASP
&SYSTEM
  ibrav = 0, nat = 16, ntyp = 3
/
ATOMIC_SPECIES
Pu 244.00 Pu.upf
U 238.03 U.upf
Sn 118.71 Sn.upf
ATOMIC_POSITIONS crystal
Pu 0.0965 0.1726 0.1235
Pu 0.0965 0.8274 0.6235
Pu 0.1932 0.2768 0.8911
Pu 0.1932 0.7232 0.3911
Pu 0.8068 0.2768 0.6089
Pu 0.8068 0.7232 0.1089
Pu 0.9035 0.1726 0.3765
Pu 0.9035 0.8274 0.8765
U 0.3839 0.1317 0.3537
U 0.3839 0.8683 0.8537
U 0.6162 0.1317 0.1463
U 0.6162 0.8683 0.6463
Sn 0.3188 0.3394 0.6206
Sn 0.3188 0.6606 0.1206
Sn 0.6812 0.3394 0.8794
Sn 0.6812 0.6606 0.3794
CELL_PARAMETERS angstrom
6.4952 0.0000 0.0000
0.0000 5.4679 0.0000
-3.1064 0.0000 10.2637
! energy relative to the elements = -0.04 eV/atom
! SG = P2/c
! energy relative to the lowest polymorph listed for this composition = 3 meV/atom


Summary of calculated total energy in Ry per atom
-0.18286; -0.41521; -0.31446; -0.81046
(order as listed above)